4
Lattice="-3.268 -2.179 0.957 2.789 -2.957 2.789 -0.804 2.914 3.894" Properties=species:S:1:pos:R:3 comment="SrCaAs2, optimized geometry, DFT GGA-PBEsol" space_group="P4/mmm, No. 123" formation_enthalpy_0k_ev_per_fu=-3.5 polymorph_energy_mev_per_atom=0.0 total_magnetization_mub_per_atom=0.000 pbc="T T T"
Sr -1.634 -1.090 0.478
As -0.402 1.457 1.947
As 1.394 -1.479 1.394
Ca -0.641 -1.111 3.820